FeMo2N, relaxed, DFT PBE; density of states at the Fermi level = 0.9355 states/eV per atom; electronic total energy = -9.2185 eV per atom; total magnetization = 2.68 μB per formula unit; E_form (uncorrected) = 38 kJ per mole of atoms; calculated density = 8.2 g/cm³
1.0
-1.919 -1.853 0.707
-0.334 -0.698 2.649
-6.135 5.062 1.997
Mo Fe N
2 1 1
Cartesian
-4.419 3.177 1.717
-3.970 -0.666 3.636
0.000 0.000 0.000
-4.194 1.256 2.676

FeMoN, relaxed, DFT PBE; density of states at the Fermi level = 0.5698 states/eV per atom; electronic total energy = -8.8319 eV per atom; total magnetization = 0.27 μB per formula unit; E_form (uncorrected) = 36 kJ per mole of atoms; calculated density = 9.0 g/cm³; offset from the most stable computed form = 193 meV per atom
1.0
-1.660 -2.345 0.044
2.617 -1.879 -1.407
-0.289 0.270 3.493
Mo Fe N
1 1 1
Cartesian
-0.427 -2.010 1.889
-0.277 -0.391 0.007
1.372 -1.553 0.233

Fe3Mo5N8, relaxed, DFT PBE; density of states at the Fermi level = 0.4439 states/eV per atom; electronic total energy = -9.3918 eV per atom; total magnetization = 8.82 μB per formula unit; E_form (uncorrected) = -25 kJ per mole of atoms; calculated density = 8.0 g/cm³
1.0
1.425 11.263 -0.050
-1.425 11.263 -0.050
0.000 1.039 4.880
Fe Mo N
3 5 8
Cartesian
0.000 0.000 0.000
0.000 17.157 1.085
0.000 6.410 3.695
0.000 19.812 0.531
0.000 9.025 3.007
0.000 3.754 4.249
0.000 14.541 1.773
0.000 11.783 2.390
0.000 10.030 1.117
0.000 21.809 3.484
0.000 4.385 0.713
0.000 16.170 3.115
0.000 1.758 1.296
0.000 13.536 3.664
0.000 7.396 1.665
0.000 19.181 4.067